# PuPaV4 (PBE, optimized geometry)
# - Formation energy: 0.81 eV/f.u.
data_PuPaV4
_space_group_name_H-M_alt 'F -4 3 m'
_space_group_IT_number 216
_space_group_name_Hall 'F -4 2 3'
_cell_length_a 7.415
_cell_length_b 7.415
_cell_length_c 7.415
_cell_angle_alpha 90.00
_cell_angle_beta 90.00
_cell_angle_gamma 90.00
loop_
_atom_site_label
_atom_site_type_symbol
_atom_site_fract_x
_atom_site_fract_y
_atom_site_fract_z
Pu1 Pu 0.000 0.000 0.000
Pa1 Pa 0.250 0.250 0.750
V1 V 0.125 0.125 0.375